VASP calculation (PBE) on a relaxed Sr2Sc2Sn2H crystal.

Cell lengths 4.6272, 4.6272, 9.2286 Å; angles 104.52, 104.52, 90.00 degrees
Closest atoms and distances in Å follow each position.
Element x y z (fractional)
Sr  0.1736  0.1736  0.3472  1 H 3.00
Sr  0.8264  0.8264  0.6528  1 H 3.00
Sc  0.0000  0.5000  0.0000  2 H 2.31
Sc  0.5000  0.0000  0.0000  2 H 2.31
Sn  0.3827  0.3827  0.7654  4 Sc 3.07, 4 Sr 3.41
Sn  0.6173  0.6173  0.2346  4 Sc 3.07, 4 Sr 3.41
H  0.0000  0.0000  0.0000  4 Sc 2.31

Values from the calculation:
- DFT total energy (eV per cell) = -31.9
- magnetization (μB/cell) = 0.75
- SG = I4/mmm (139)